Here is Ba2MgTeO6 after structural relaxation from the Alexandria database. Energies are from PBE.

Unit cell a=5.825 b=5.825 c=8.240 alpha=90.00 beta=90.00 gamma=90.00
Element x y z (fractional)
1 O 0.739 0.489 0.500
2 Mg 0.000 0.750 0.500
3 Ba 0.000 0.250 0.750
4 O 0.500 0.250 0.261
5 O 0.000 0.750 0.761
6 O 0.761 0.989 0.000
7 Te 0.500 0.250 0.500
8 Ba 0.500 0.750 0.750
9 O 0.761 0.511 0.000
10 Te 0.000 0.750 0.000
11 O 0.261 0.489 0.500
12 O 0.239 0.989 0.000
13 O 0.261 0.011 0.500
14 O 0.239 0.511 0.000
15 O 0.500 0.250 0.739
16 O 0.739 0.011 0.500
17 O 0.000 0.750 0.239
18 Ba 0.500 0.750 0.250
19 Mg 0.500 0.250 0.000
20 Ba 0.000 0.250 0.250

Values from the calculation:
- Formation energy (no corrections): -2253.6 meV/atom
- Uncorrected energy: -6.09 eV/atom
- Symmetry: No. 225